DFT (GGA-PBE) results for a relaxed MgMn2HIr crystal.

a = 3.7531 Å, b = 3.7531 Å, c = 4.0889 Å
α = 90.00°, β = 90.00°, γ = 90.00°
Space group P4/mmm (No. 123)
Inequivalent atoms, fractional coordinates:
Mg: 0.0000 0.0000 0.0000 x1
Mn: 0.0000 0.5000 0.5000 x2
H: 0.0000 0.0000 0.5000 x1
Ir: 0.5000 0.5000 0.0000 x1

Output
* total DFT energy (no corrections): -6.443 eV/atom
* spin magnetization: 5.43 μB/f.u.
* theoretical density: 9.44 Mg/m³